Below is crystalline ZnGa2Pb2 at its relaxed geometry, with properties calculated at the PBE level.

Computed properties:
The value obtained for the energy relative to the lowest polymorph listed for this composition is 57.5 meV per atom. The formation energy is 135 meV per atom. Its uncorrected energy is -2.814 eV per atom.

Cell lengths 8.9575, 8.9575, 8.9575 Å; angles 155.42, 155.42, 35.03 degrees
With the nearest neighbours (Å) after each atom.
Atoms (fractional coordinates):
Zn (0.0000, 0.0000, 0.0000)  8 Pb 3.22
Ga (0.2500, 0.7500, 0.5000)  4 Ga 2.70
Ga (0.7500, 0.2500, 0.5000)  4 Ga 2.70
Pb (0.3973, 0.3973, 0.0000)  4 Ga 3.16, 4 Zn 3.22, 1 Pb 3.51
Pb (0.6027, 0.6027, 0.0000)  4 Ga 3.16, 4 Zn 3.22, 1 Pb 3.51